Below is CeTc2B2 after structural relaxation, with properties calculated at the PBE-GGA level.

Cell: 3.141 4.419 5.328 Å, 104.33 107.14 90.00°
Fractional coordinates of all 5 atoms:
1 Ce 0.000 0.000 0.000
2 Tc 0.340 0.420 0.680
3 Tc 0.660 0.580 0.320
4 B 0.735 0.105 0.470
5 B 0.265 0.895 0.530

Uncorrected energy: -8.391 eV/atom
Spin magnetization: 0.000 Bohr magnetons per cell
Theoretical density: 8.7 g cm⁻³
Space-group type: C2/m, No. 12
Relative energy among the computed polymorphs: 0 meV/atom

---

Below is Sc4RhW after structural relaxation, with properties calculated at the PBE-GGA level.

Cell: 5.468 5.468 5.468 Å, 60.00 60.00 60.00°
Fractional coordinates of all 6 atoms:
1 Sc 0.874 0.375 0.375
2 Sc 0.375 0.375 0.874
3 Sc 0.375 0.874 0.375
4 Sc 0.375 0.375 0.375
5 Rh 0.000 0.000 0.000
6 W 0.750 0.750 0.750

Uncorrected energy: -7.045 eV/atom
Spin magnetization: 0.000 Bohr magnetons per cell
Theoretical density: 6.7 g cm⁻³
Space-group type: F-43m, No. 216

---

Below is HfCoTe2N after structural relaxation, with properties calculated at the PBE-GGA level.

Cell: 5.279 5.279 3.447 Å, 90.00 90.00 90.00°
Fractional coordinates of all 5 atoms:
1 Co 0.000 0.000 0.000
2 Te 0.000 0.500 0.000
3 Te 0.500 0.000 0.000
4 Hf 0.500 0.500 0.500
5 N 0.000 0.000 0.500

Uncorrected energy: -6.146 eV/atom
Formation energy without anion corrections: 0.188 eV per atom
Spin magnetization: 0.000 Bohr magnetons per cell
Theoretical density: 8.8 g cm⁻³
Space-group type: P4/mmm, No. 123
Relative energy among the computed polymorphs: 0 meV/atom

---

Below is CsYI4 after structural relaxation, with properties calculated at the PBE-GGA level.

Cell: 6.188 11.169 11.903 Å, 104.12 90.00 106.08°
Fractional coordinates of all 12 atoms:
1 Cs 0.222 0.443 0.218
2 Cs 0.778 0.557 0.782
3 Y 0.098 0.195 0.632
4 Y 0.902 0.805 0.368
5 I 0.045 0.090 0.363
6 I 0.153 0.305 0.887
7 I 0.771 0.543 0.408
8 I 0.594 0.188 0.628
9 I 0.406 0.812 0.372
10 I 0.229 0.457 0.592
11 I 0.847 0.695 0.113
12 I 0.955 0.910 0.637

Uncorrected energy: -3.677 eV/atom
Formation energy without anion corrections: -1.424 eV per atom
Spin magnetization: 0.000 Bohr magnetons per cell
Theoretical density: 3.2 g cm⁻³
Space-group type: C2/m, No. 12
Relative energy among the computed polymorphs: 40 meV/atom

---

Below is YFeRe2C after structural relaxation, with properties calculated at the PBE-GGA level.

Cell: 4.895 4.708 4.895 Å, 90.00 90.00 90.00°
Site moments in Bohr magnetons follow the coordinates.
Fractional coordinates of all 5 atoms:
1 Y 0.000 0.000 0.000  -0.14
2 Re 0.000 0.000 0.500  1.28
3 Re 0.500 0.000 0.000  1.40
4 C 0.500 0.500 0.500  -0.41
5 Fe 0.000 0.500 0.000  2.75

Uncorrected energy: -5.763 eV/atom
Spin magnetization: 4.915 Bohr magnetons per cell
Theoretical density: 7.8 g cm⁻³
Space-group type: P4/mmm, No. 123

---

Below is Dy2TcP after structural relaxation, with properties calculated at the PBE-GGA level.

Cell: 3.638 3.638 8.921 Å, 78.24 78.24 60.00°
Site moments in Bohr magnetons follow the coordinates.
Fractional coordinates of all 4 atoms:
1 P 0.500 0.500 0.500  0.02
2 Tc 0.000 0.000 0.000  0.94
3 Dy 0.101 0.101 0.698  -0.10
4 Dy 0.899 0.899 0.302  -0.10

Uncorrected energy: -6.110 eV/atom
Spin magnetization: 0.739 Bohr magnetons per cell
Theoretical density: 7.6 g cm⁻³
Space-group type: R-3m, No. 166

---

Below is LaSn2Ge after structural relaxation, with properties calculated at the PBE-GGA level.

Cell: 8.496 8.496 6.774 Å, 51.17 51.17 90.00°
Fractional coordinates of all 8 atoms:
1 Ge 0.500 0.500 0.000
2 Ge 0.250 0.750 0.500
3 Sn 0.580 0.125 0.250
4 Sn 0.170 0.625 0.250
5 Sn 0.375 0.420 0.750
6 Sn 0.875 0.830 0.750
7 La 0.000 0.000 0.000
8 La 0.750 0.250 0.500

Uncorrected energy: -4.729 eV/atom
Spin magnetization: 0.000 Bohr magnetons per cell
Theoretical density: 6.6 g cm⁻³
Space-group type: I-42d, No. 122

---

Below is Ca2Cu5Ni2Pd after structural relaxation, with properties calculated at the PBE-GGA level.

Cell: 3.883 8.882 8.882 Å, 90.00 90.00 90.00°
Fractional coordinates of all 20 atoms:
1 Ca 0.000 0.684 0.184
2 Ca 0.000 0.316 0.816
3 Ca 0.000 0.184 0.316
4 Ca 0.000 0.816 0.684
5 Cu 0.500 0.208 0.058
6 Cu 0.500 0.792 0.942
7 Cu 0.500 0.058 0.792
8 Cu 0.500 0.708 0.442
9 Cu 0.500 0.942 0.208
10 Cu 0.500 0.292 0.558
11 Cu 0.500 0.558 0.708
12 Cu 0.500 0.442 0.292
13 Cu 0.500 0.500 0.000
14 Cu 0.500 0.000 0.500
15 Ni 0.000 0.111 0.611
16 Ni 0.000 0.889 0.389
17 Ni 0.000 0.611 0.889
18 Ni 0.000 0.389 0.111
19 Pd 0.000 0.000 0.000
20 Pd 0.000 0.500 0.500

Uncorrected energy: -4.235 eV/atom
Spin magnetization: 0.000 Bohr magnetons per cell
Theoretical density: 6.7 g cm⁻³
Space-group type: P4/mbm, No. 127